# 1
Density functional theory data (PBE-GGA) for LiYErFe after structural relaxation.

The value obtained for the formation energy is 0.084 eV per atom. For the total moment, the calculation gives 0.000 μB/atom. The calculated volume is 80 Å³/f.u. The calculation puts the total energy at -5.267 eV per atom.

a = 6.8371 Å, b = 6.8371 Å, c = 6.8371 Å
α = 90.00°, β = 90.00°, γ = 90.00°
Space group F-43m (No. 216)
One atom of each set of equivalent atoms:
Li 0.0000 0.0000 0.0000
Y 0.2500 0.2500 0.7500
Er 0.2500 0.2500 0.2500
Fe 0.0000 0.0000 0.5000


# 2
Density functional theory data (PBE-GGA) for NaPm2Co after structural relaxation.

The value obtained for the formation energy is 0.009 eV per atom. The offset from the most stable computed form comes out at 3.4 meV per atom. For the total moment, the calculation gives 0.000 μB/atom. The calculated volume is 127 Å³/f.u. The calculation puts the total energy at -4.473 eV per atom.

a = 3.9575 Å, b = 3.9575 Å, c = 28.0278 Å
α = 90.00°, β = 90.00°, γ = 120.00°
Space group R-3m (No. 166, hexagonal axes)
One atom of each set of equivalent atoms:
Na 0.0000 0.0000 0.0000
Pm 0.0000 0.0000 0.2189
Co 0.0000 0.0000 0.5000


# 3
Density functional theory data (PBE-GGA) for GdInNiHg after structural relaxation.

The value obtained for the formation energy is -0.262 eV per atom. For the total moment, the calculation gives 1.772 μB/atom. The calculated volume is 84 Å³/f.u. The calculation puts the total energy at -5.988 eV per atom.

a = 6.9520 Å, b = 6.9520 Å, c = 6.9520 Å
α = 90.00°, β = 90.00°, γ = 90.00°
Space group F-43m (No. 216)
One atom of each set of equivalent atoms:
Gd 0.0000 0.0000 0.0000
In 0.0000 0.0000 0.5000
Ni 0.2500 0.2500 0.7500
Hg 0.2500 0.2500 0.2500


# 4
Density functional theory data (PBE-GGA) for Li2CeScIn4 after structural relaxation.

The value obtained for the formation energy is -0.321 eV per atom. For the total moment, the calculation gives 0.131 μB/atom. The calculated volume is 187 Å³/f.u. The calculation puts the total energy at -3.702 eV per atom.

a = 5.0227 Å, b = 5.0227 Å, c = 25.6620 Å
α = 90.00°, β = 90.00°, γ = 120.00°
Space group R-3m (No. 166, hexagonal axes)
One atom of each set of equivalent atoms:
Li 0.0000 0.0000 0.2462
Ce 0.0000 0.0000 0.0000
Sc 0.0000 0.0000 0.5000
In 0.0000 0.0000 0.1276
In 0.0000 0.0000 0.3834


# 5
Density functional theory data (PBE-GGA) for La4S3Cl after structural relaxation.

The uncorrected formation energy comes out at -2033 meV/atom. For the total moment, the calculation gives 0.000 μB/atom. The calculated volume is 203 Å³/f.u. The calculation puts the total energy at -6.275 eV per atom.

a = 8.2959 Å, b = 11.7545 Å, c = 4.1638 Å
α = 90.00°, β = 90.00°, γ = 90.00°
Space group Cmmm (No. 65)
One atom of each set of equivalent atoms:
La 0.0000 0.2436 0.0000
La 0.2372 0.0000 0.5000
S 0.0000 0.0000 0.0000
S 0.2500 0.2500 0.5000
Cl 0.0000 0.5000 0.0000


# 6
Density functional theory data (PBE-GGA) for SiAs2O after structural relaxation.

The uncorrected formation energy comes out at 80 meV/atom. The offset from the most stable computed form comes out at 0.0 meV per atom. For the total moment, the calculation gives 0.000 μB/atom. The calculated volume is 76 Å³/f.u. The calculation puts the total energy at -4.840 eV per atom.

a = 4.9807 Å, b = 4.9807 Å, c = 12.3318 Å
α = 90.00°, β = 90.00°, γ = 90.00°
Space group I-42d (No. 122)
One atom of each set of equivalent atoms:
Si 0.0000 0.0000 0.0000
As 0.1766 0.2500 0.6250
O 0.0000 0.0000 0.5000


# 7
Density functional theory data (PBE-GGA) for Ba2SiHg after structural relaxation.

The uncorrected formation energy comes out at 100 meV/atom. For the total moment, the calculation gives 0.000 μB/atom. The calculated volume is 195 Å³/f.u. The calculation puts the total energy at -2.293 eV per atom.

a = 6.4214 Å, b = 6.4214 Å, c = 18.9564 Å
α = 90.00°, β = 90.00°, γ = 90.00°
Space group I-42d (No. 122)
One atom of each set of equivalent atoms:
Ba 0.2193 0.2500 0.1250
Si 0.0000 0.0000 0.0000
Hg 0.0000 0.0000 0.5000


# 8
Density functional theory data (PBE-GGA) for SmEr7Tm12 after structural relaxation.

The value obtained for the formation energy is 0.748 eV per atom. The offset from the most stable computed form comes out at 428.6 meV per atom. For the total moment, the calculation gives 0.000 μB/atom. The calculated volume is 694 Å³/f.u. The calculation puts the total energy at -3.768 eV per atom.

a = 11.1551 Å, b = 11.1551 Å, c = 11.1551 Å
α = 90.00°, β = 90.00°, γ = 90.00°
Space group Im-3 (No. 204)
One atom of each set of equivalent atoms:
Sm 0.0000 0.0000 0.0000
Er 0.0000 0.0000 0.5000
Er 0.2500 0.2500 0.2500
Tm 0.0000 0.2555 0.2565


# 9
Density functional theory data (PBE-GGA) for Pr7DyHo3 after structural relaxation.

The value obtained for the formation energy is 0.183 eV per atom. The offset from the most stable computed form comes out at 0.0 meV per atom. For the total moment, the calculation gives 0.000 μB/atom. The calculated volume is 399 Å³/f.u. The calculation puts the total energy at -4.525 eV per atom.

a = 19.4557 Å, b = 7.2221 Å, c = 12.7123 Å
α = 90.00°, β = 116.66°, γ = 90.00°
Space group C2/c (No. 15)
One atom of each set of equivalent atoms:
Pr 0.0000 0.2084 0.2500
Pr 0.1582 0.4946 0.7725
Pr 0.1652 0.2466 0.0238
Pr 0.1674 0.2474 0.5277
Dy 0.0000 0.0000 0.0000
Ho 0.0000 0.5000 0.0000
Ho 0.1714 0.0034 0.2735


# 10
Density functional theory data (PBE-GGA) for UTlRhO6 after structural relaxation.

The uncorrected formation energy comes out at -1669 meV/atom. For the total moment, the calculation gives 0.095 μB/atom. The calculated volume is 152 Å³/f.u. The calculation puts the total energy at -7.309 eV per atom.

a = 7.2179 Å, b = 7.8931 Å, c = 10.6895 Å
α = 90.00°, β = 90.00°, γ = 90.00°
Space group Imma (No. 74)
One atom of each set of equivalent atoms:
U 0.0000 0.0000 0.0000
Tl 0.0000 0.2500 0.3778
Rh 0.2500 0.2500 0.7500
O 0.0000 0.2500 0.0791
O 0.0000 0.2500 0.6910
O 0.1998 0.0699 0.8752


# 11
Density functional theory data (PBE-GGA) for LiTe3Pd after structural relaxation.

The uncorrected formation energy comes out at 10 meV/atom. The offset from the most stable computed form comes out at 0.0 meV per atom. For the total moment, the calculation gives 0.000 μB/atom. The calculated volume is 154 Å³/f.u. The calculation puts the total energy at -3.296 eV per atom.

a = 5.3591 Å, b = 5.3591 Å, c = 5.3591 Å
α = 90.00°, β = 90.00°, γ = 90.00°
Space group Pm-3m (No. 221)
One atom of each set of equivalent atoms:
Li 0.0000 0.0000 0.0000
Te 0.0000 0.5000 0.5000
Pd 0.5000 0.5000 0.5000


# 12
Density functional theory data (PBE-GGA) for Y2Cd15In2 after structural relaxation.

The value obtained for the formation energy is -0.096 eV per atom. For the total moment, the calculation gives 0.000 μB/atom. The calculated volume is 444 Å³/f.u. The calculation puts the total energy at -1.787 eV per atom.

a = 10.2346 Å, b = 10.2346 Å, c = 14.6700 Å
α = 90.00°, β = 90.00°, γ = 120.00°
Space group R-3m (No. 166, hexagonal axes)
One atom of each set of equivalent atoms:
Y 0.0000 0.0000 0.1688
Cd 0.0000 0.3193 0.5000
Cd 0.0000 0.5000 0.0000
Cd 0.0157 0.5079 0.6567
In 0.0000 0.0000 0.3994